First-principles (GGA-PBE) data for a relaxed structure of LaNbW3, as listed in Alexandria.

The structure in extended XYZ format:
```
5
Lattice="4.7677 0.0000 0.0000 0.0000 4.7677 0.0000 0.0000 0.0000 4.7677" Properties=species:S:1:pos:R:3 pbc="T T T"
La 0.0000 0.0000 0.0000
Nb 2.3839 2.3839 2.3839
W 0.0000 0.0000 2.3839
W 0.0000 2.3839 0.0000
W 2.3839 0.0000 0.0000
```

- formation enthalpy at 0 K (eV/atom) = 2.775
- symmetry = Pm-3m
- energy (eV/atom) = -8.00
- offset from the most stable computed form (meV/atom) = 1142.7



First-principles (GGA-PBE) data for a relaxed structure of La3YNb, as listed in Alexandria.

The structure in extended XYZ format:
```
5
Lattice="5.6551 0.0000 0.0000 0.0000 5.6551 0.0000 0.0000 0.0000 5.6551" Properties=species:S:1:pos:R:3 pbc="T T T"
La 0.0000 0.0000 2.8275
La 0.0000 2.8275 0.0000
La 2.8275 0.0000 0.0000
Y 0.0000 0.0000 0.0000
Nb 2.8275 2.8275 2.8275
```

- formation enthalpy at 0 K (eV/atom) = 1.390
- symmetry = Pm-3m
- energy (eV/atom) = -4.87
- offset from the most stable computed form (meV/atom) = 983.1



First-principles (GGA-PBE) data for a relaxed structure of LaYNb3, as listed in Alexandria.

The structure in extended XYZ format:
```
5
Lattice="4.9990 0.0000 0.0000 0.0000 4.9990 0.0000 0.0000 0.0000 4.9990" Properties=species:S:1:pos:R:3 pbc="T T T"
La 0.0000 0.0000 0.0000
Y 2.4995 2.4995 2.4995
Nb 0.0000 0.0000 2.4995
Nb 0.0000 2.4995 0.0000
Nb 2.4995 0.0000 0.0000
```

- formation enthalpy at 0 K (eV/atom) = 1.358
- symmetry = Pm-3m
- energy (eV/atom) = -6.96
- offset from the most stable computed form (meV/atom) = 0.0



First-principles (GGA-PBE) data for a relaxed structure of LaY2Nb, as listed in Alexandria.

The structure in extended XYZ format:
```
16
Lattice="7.6623 0.0000 0.0000 0.0000 7.6623 0.0000 0.0000 0.0000 7.6623" Properties=species:S:1:pos:R:3 pbc="T T T"
La 0.0000 0.0000 0.0000
La 0.0000 3.8312 3.8312
La 3.8312 0.0000 3.8312
La 3.8312 3.8312 0.0000
Y 1.9156 1.9156 1.9156
Y 1.9156 1.9156 5.7467
Y 1.9156 5.7467 1.9156
Y 1.9156 5.7467 5.7467
Y 5.7467 1.9156 1.9156
Y 5.7467 1.9156 5.7467
Y 5.7467 5.7467 1.9156
Y 5.7467 5.7467 5.7467
Nb 0.0000 0.0000 3.8312
Nb 0.0000 3.8312 0.0000
Nb 3.8312 0.0000 0.0000
Nb 3.8312 3.8312 3.8312
```

- formation enthalpy at 0 K (eV/atom) = 0.369
- symmetry = Fm-3m
- energy (eV/atom) = -6.61
- offset from the most stable computed form (meV/atom) = 0.0



First-principles (GGA-PBE) data for a relaxed structure of LaY2Nb, as listed in Alexandria.

The structure in extended XYZ format:
```
16
Lattice="4.5976 0.0000 0.0000 0.0000 4.5976 0.0000 0.0000 0.0000 22.1591" Properties=species:S:1:pos:R:3 pbc="T T T"
La 0.0000 0.0000 0.0000
La 0.0000 2.2988 5.5398
La 2.2988 0.0000 16.6193
La 2.2988 2.2988 11.0796
Y 1.0587 1.1494 13.8494
Y 1.1494 3.3575 19.3892
Y 1.1494 3.5389 8.3097
Y 1.2401 1.1494 2.7699
Y 3.3575 3.4482 2.7699
Y 3.4482 1.0587 8.3097
Y 3.4482 1.2401 19.3892
Y 3.5389 3.4482 13.8494
Nb 0.0000 0.0000 11.0796
Nb 0.0000 2.2988 16.6193
Nb 2.2988 0.0000 5.5398
Nb 2.2988 2.2988 0.0000
```

- formation enthalpy at 0 K (eV/atom) = 0.675
- symmetry = I-42d
- energy (eV/atom) = -6.31
- offset from the most stable computed form (meV/atom) = 305.9



First-principles (GGA-PBE) data for a relaxed structure of LaY3Nb, as listed in Alexandria.

The structure in extended XYZ format:
```
5
Lattice="5.5442 0.0000 0.0000 0.0000 5.5442 0.0000 0.0000 0.0000 5.5442" Properties=species:S:1:pos:R:3 pbc="T T T"
La 0.0000 0.0000 0.0000
Y 0.0000 2.7721 2.7721
Y 2.7721 0.0000 2.7721
Y 2.7721 2.7721 0.0000
Nb 2.7721 2.7721 2.7721
```

- formation enthalpy at 0 K (eV/atom) = 0.427
- symmetry = Pm-3m
- energy (eV/atom) = -6.45
- offset from the most stable computed form (meV/atom) = 0.0



First-principles (GGA-PBE) data for a relaxed structure of LaY3Nb, as listed in Alexandria.

The structure in extended XYZ format:
```
5
Lattice="5.4363 0.0000 0.0000 0.0000 5.4363 0.0000 0.0000 0.0000 5.4363" Properties=species:S:1:pos:R:3 pbc="T T T"
La 0.0000 0.0000 0.0000
Y 0.0000 0.0000 2.7182
Y 0.0000 2.7182 0.0000
Y 2.7182 0.0000 0.0000
Nb 2.7182 2.7182 2.7182
```

- formation enthalpy at 0 K (eV/atom) = 1.384
- symmetry = Pm-3m
- energy (eV/atom) = -5.49
- offset from the most stable computed form (meV/atom) = 956.7



First-principles (GGA-PBE) data for a relaxed structure of LaY2Nb, as listed in Alexandria.

The structure in extended XYZ format:
```
12
Lattice="3.3399 0.0000 0.0000 -1.6700 2.8924 0.0000 0.0000 0.0000 35.6809" Properties=species:S:1:pos:R:3 pbc="T T T"
La 0.0000 0.0000 0.0000
La 0.0000 1.9283 23.7873
La 1.6700 0.9641 11.8936
Y 0.0000 0.0000 14.9447
Y 0.0000 0.0000 20.7362
Y 0.0000 1.9283 3.0511
Y 0.0000 1.9283 8.8426
Y 1.6700 0.9641 26.8383
Y 1.6700 0.9641 32.6298
Nb 0.0000 0.0000 17.8404
Nb 0.0000 1.9283 5.9468
Nb 1.6700 0.9641 29.7340
```

- formation enthalpy at 0 K (eV/atom) = 0.587
- symmetry = R-3m
- energy (eV/atom) = -6.39
- offset from the most stable computed form (meV/atom) = 217.9



Which formula does entry 4 have? LaY2Nb



formation enthalpy at 0 K of number 5 (LaY2Nb)? 0.675 eV/atom



Number 3 is which compound? LaYNb3